The following is a DFT calculation (meta-GGA SCAN) of a crystal of KHgSb relaxed with PBEsol.

Results
The uncorrected formation energy is -0.49 eV/atom. The calculation puts the volume at 200.9 Å³ per cell. Its calculated total energy is -38.413 eV/atom. As for the symmetry: No. 194.

a b c (Å): 4.792 4.792 10.102
angles (deg): 90.00 90.00 120.00
Sites, in units of the cell vectors:
K1 0.000 0.000 0.500
K2 0.000 0.000 0.000
Hg1 0.667 0.333 0.250
Hg2 0.333 0.667 0.750
Sb1 0.333 0.667 0.250
Sb2 0.667 0.333 0.750